Record 1
Below is a geometry-optimized Cs2SbHAu structure, with properties calculated at the PBE level.

Cell lengths 6.758, 6.758, 3.962 Å; angles 90.00, 90.00, 90.00 degrees
Sites, in units of the cell vectors:
Cs  0.000  0.500  0.000
Cs  0.500  0.000  0.000
Sb  0.000  0.000  0.500
Au  0.500  0.500  0.500
H  0.000  0.000  0.000

Computed properties:
- Calculated total energy: -2.54 eV/atom
- Calculated volume: 181.0 Å³ per cell

=====

Record 2
Below is a geometry-optimized Cs2HAuSe structure, with properties calculated at the PBE level.

Cell lengths 5.946, 3.832, 7.951 Å; angles 103.95, 111.96, 90.00 degrees
Sites, in units of the cell vectors:
Cs  0.231  0.231  0.462
Cs  0.933  0.933  0.866
H  0.684  0.184  0.368
Au  0.660  0.660  0.321
Se  0.475  0.475  0.949

Computed properties:
- Calculated total energy: -2.72 eV/atom
- Calculated volume: 162.3 Å³ per cell

=====

Record 3
Below is a geometry-optimized Cs6HAu2Se structure, with properties calculated at the PBE level.

Cell lengths 8.663, 9.212, 12.693 Å; angles 90.00, 93.74, 90.00 degrees
Sites, in units of the cell vectors:
Cs  0.301  0.688  0.069
Cs  0.801  0.812  0.569
Cs  0.699  0.312  0.931
Cs  0.199  0.188  0.431
Cs  0.319  0.696  0.438
Cs  0.819  0.804  0.938
Cs  0.681  0.304  0.562
Cs  0.181  0.196  0.062
Cs  0.870  0.549  0.240
Cs  0.370  0.951  0.740
Cs  0.130  0.451  0.760
Cs  0.630  0.049  0.260
H  0.500  0.000  0.500
H  0.000  0.500  0.000
Au  0.037  0.914  0.238
Au  0.537  0.586  0.738
Au  0.963  0.086  0.762
Au  0.463  0.414  0.262
Se  0.500  0.000  0.000
Se  0.000  0.500  0.500

Computed properties:
- Calculated total energy: -2.29 eV/atom
- Calculated volume: 1010.8 Å³ per cell

=====

Record 4
Below is a geometry-optimized Cs2HAuSe structure, with properties calculated at the PBE level.

Cell lengths 6.532, 6.532, 3.725 Å; angles 90.00, 90.00, 90.00 degrees
Sites, in units of the cell vectors:
Cs  0.000  0.500  0.000
Cs  0.500  0.000  0.000
H  0.000  0.000  0.000
Au  0.500  0.500  0.500
Se  0.000  0.000  0.500

Computed properties:
- Calculated total energy: -2.79 eV/atom
- Calculated volume: 158.9 Å³ per cell

=====

Record 5
Below is a geometry-optimized Cs2HAuSe2 structure, with properties calculated at the PBE level.

Cell lengths 7.530, 10.517, 9.165 Å; angles 125.01, 114.26, 90.00 degrees
Sites, in units of the cell vectors:
Cs  0.614  0.955  0.229
Cs  0.114  0.273  0.229
Cs  0.886  0.727  0.771
Cs  0.386  0.045  0.771
H  0.250  0.000  0.000
H  0.750  0.000  0.000
Au  0.750  0.500  0.000
Au  0.250  0.500  0.000
Se  0.372  0.380  0.744
Se  0.628  0.620  0.256
Se  0.128  0.636  0.256
Se  0.872  0.364  0.744

Computed properties:
- Calculated total energy: -3.00 eV/atom
- Calculated volume: 514.3 Å³ per cell

=====

Record 6
Below is a geometry-optimized Cs2HAuSe structure, with properties calculated at the PBE level.

Cell lengths 6.504, 6.504, 3.696 Å; angles 90.00, 90.00, 90.00 degrees
Sites, in units of the cell vectors:
Cs  0.000  0.500  0.000
Cs  0.500  0.000  0.000
H  0.000  0.000  0.000
Au  0.000  0.000  0.500
Se  0.500  0.500  0.500

Computed properties:
- Calculated total energy: -2.82 eV/atom
- Calculated volume: 156.4 Å³ per cell

=====

Record 7
Below is a geometry-optimized Cs2SnH6Au structure, with properties calculated at the PBE level.

Cell lengths 5.687, 5.687, 6.626 Å; angles 64.58, 64.58, 89.99 degrees
Sites, in units of the cell vectors:
Cs  0.750  0.250  0.500
Cs  0.250  0.750  0.500
Sn  0.000  0.000  0.000
H  0.190  0.190  0.620
H  0.732  0.732  0.000
H  0.268  0.732  0.000
H  0.732  0.268  0.000
H  0.268  0.268  0.000
H  0.810  0.810  0.380
Au  0.500  0.500  0.000

Computed properties:
- Calculated total energy: -2.90 eV/atom
- Calculated volume: 170.3 Å³ per cell

=====

Record 8
Below is a geometry-optimized CsSrH2Au structure, with properties calculated at the PBE level.

Cell lengths 4.954, 4.954, 6.199 Å; angles 90.00, 90.00, 90.00 degrees
Sites, in units of the cell vectors:
Cs  0.500  0.500  0.500
Sr  0.000  0.000  0.000
Au  0.000  0.000  0.500
H  0.000  0.500  0.000
H  0.500  0.000  0.000

Computed properties:
- Calculated total energy: -2.80 eV/atom
- Calculated volume: 152.1 Å³ per cell